Entry 1:
The following is a DFT calculation (PBE) of a relaxed structure of InPtW.

Geometry as extended XYZ:
```
3
Lattice="0.000 3.136 3.136 3.136 0.000 3.136 3.136 3.136 0.000" Properties=species:S:1:pos:R:3 pbc="T T T"
In 0.000 0.000 0.000
Pt 3.136 3.136 3.136
W 1.568 1.568 1.568
```

Values from the calculation:
ΔE_f: 0.638 eV per atom
calculated total energy: -6.606 eV/atom

Entry 2:
The following is a DFT calculation (PBE) of a relaxed structure of InPtW2.

Geometry as extended XYZ:
```
4
Lattice="4.770 -1.390 0.000 4.770 1.390 0.000 -0.635 0.000 5.130" Properties=species:S:1:pos:R:3 pbc="T T T"
In 0.000 0.000 0.000
Pt 1.872 0.000 3.985
W 4.595 0.000 2.558
W 7.049 0.000 1.481
```

Values from the calculation:
ΔE_f: 0.255 eV per atom
calculated total energy: -8.417 eV/atom

Entry 3:
The following is a DFT calculation (PBE) of a relaxed structure of InPtW3.

Geometry as extended XYZ:
```
5
Lattice="4.812 0.000 0.000 0.000 4.812 0.000 0.000 0.000 4.812" Properties=species:S:1:pos:R:3 pbc="T T T"
In 0.000 0.000 0.000
Pt 2.406 2.406 2.406
W 0.000 2.406 2.406
W 2.406 0.000 2.406
W 2.406 2.406 0.000
```

Values from the calculation:
ΔE_f: 1.953 eV per atom
calculated total energy: -7.574 eV/atom

Entry 4:
The following is a DFT calculation (PBE) of a relaxed structure of Y2InPt.

Geometry as extended XYZ:
```
4
Lattice="3.598 0.000 0.000 0.000 3.598 0.000 0.000 0.000 7.645" Properties=species:S:1:pos:R:3 pbc="T T T"
Y 0.000 0.000 0.000
Y 1.799 1.799 2.568
In 0.000 0.000 4.540
Pt 1.799 1.799 6.089
```

Values from the calculation:
ΔE_f: -0.562 eV per atom
calculated total energy: -5.989 eV/atom

Entry 5:
The following is a DFT calculation (PBE) of a relaxed structure of Y5In2Pt2.

Geometry as extended XYZ:
```
18
Lattice="7.808 -4.229 0.000 7.808 4.229 0.000 0.000 0.000 7.274" Properties=species:S:1:pos:R:3 pbc="T T T"
Y 0.000 0.000 0.000
Y 5.909 2.697 4.795
Y 5.909 1.532 1.158
Y 9.707 2.697 4.795
Y 9.707 1.532 1.158
Y 7.808 0.000 3.637
Y 5.909 -1.532 6.116
Y 5.909 -2.697 2.479
Y 9.707 -1.532 6.116
Y 9.707 -2.697 2.479
In 3.333 0.000 0.000
In 4.475 0.000 3.637
In 11.141 0.000 3.637
In 12.283 0.000 0.000
Pt 7.808 3.174 2.660
Pt 7.808 1.056 6.297
Pt 7.808 -1.056 0.977
Pt 7.808 -3.174 4.614
```

Values from the calculation:
ΔE_f: -0.760 eV per atom
calculated total energy: -6.302 eV/atom

Entry 6:
The following is a DFT calculation (PBE) of a relaxed structure of YInPt3.

Geometry as extended XYZ:
```
5
Lattice="4.936 0.000 0.000 0.000 4.936 0.000 0.000 0.000 4.936" Properties=species:S:1:pos:R:3 pbc="T T T"
Y 0.000 0.000 0.000
In 2.468 2.468 2.468
Pt 0.000 2.468 2.468
Pt 2.468 0.000 2.468
Pt 2.468 2.468 0.000
```

Values from the calculation:
ΔE_f: 0.110 eV per atom
calculated total energy: -5.355 eV/atom